Entry 1:
A plane-wave DFT calculation with PBE-GGA was carried out for a geometry-optimized SrRePb2 structure.

abc: 4.8039 3.4013 6.4822
angles: 80.83 90.00 90.00
Each line ends with the local moment (μB).
Sites, in units of the cell vectors:
Pb (0.0000, 0.1114, 0.0281)  0.00
Pb (0.0000, 0.3886, 0.4719)  0.00
Re (0.5000, 0.2500, 0.2500)  1.10
Sr (0.5000, 0.7500, 0.7500)  0.01

relative energy among the computed polymorphs: 0.1698 eV per atom
D(E_F): 3.05 states/eV per cell
energy relative to the elements: 0.57 eV/atom

Entry 2:
A plane-wave DFT calculation with PBE-GGA was carried out for a geometry-optimized SrRe2Pb structure.

abc: 5.4498 5.4498 5.7058
angles: 75.39 75.39 39.60
Sites, in units of the cell vectors:
Pb (0.2500, 0.2500, 0.2500)
Re (0.9906, 0.9906, 0.1237)
Re (0.5094, 0.5094, 0.3763)
Sr (0.7500, 0.7500, 0.7500)

D(E_F): 2.81 states/eV per cell
energy relative to the elements: 0.74 eV/atom

Entry 3:
A plane-wave DFT calculation with PBE-GGA was carried out for a geometry-optimized SrRePb2 structure.

abc: 7.8542 7.8542 7.8542
angles: 154.71 146.89 42.12
Sites, in units of the cell vectors:
Pb (0.0033, 0.0033, 0.0000)
Pb (0.3281, 0.8281, 0.5000)
Re (0.4848, 0.4848, 0.0000)
Sr (0.6838, 0.1838, 0.5000)

relative energy among the computed polymorphs: 0.1122 eV per atom
D(E_F): 2.86 states/eV per cell
energy relative to the elements: 0.52 eV/atom

Entry 4:
A plane-wave DFT calculation with PBE-GGA was carried out for a geometry-optimized SrRePb2 structure.

abc: 6.3899 6.3899 6.3899
angles: 149.43 123.88 65.26
Sites, in units of the cell vectors:
Pb (0.0411, 0.0411, 0.0000)
Pb (0.4589, 0.4589, 0.0000)
Re (0.2500, 0.7500, 0.5000)
Sr (0.7500, 0.2500, 0.5000)

relative energy among the computed polymorphs: 0.0735 eV per atom
D(E_F): 2.75 states/eV per cell
energy relative to the elements: 0.48 eV/atom

Entry 5:
A plane-wave DFT calculation with PBE-GGA was carried out for a geometry-optimized SrRePb2 structure.

abc: 4.6750 4.6750 6.4008
angles: 68.66 68.66 59.91
Sites, in units of the cell vectors:
Pb (0.0281, 0.0281, 0.9158)
Pb (0.4719, 0.4719, 0.5842)
Re (0.7500, 0.7500, 0.7500)
Sr (0.2500, 0.2500, 0.2500)

relative energy among the computed polymorphs: 0.0156 eV per atom
D(E_F): 2.72 states/eV per cell
energy relative to the elements: 0.42 eV/atom

Entry 6:
A plane-wave DFT calculation with PBE-GGA was carried out for a geometry-optimized SrRe2Pb structure.

abc: 4.8794 4.8794 4.8794
angles: 119.97 119.97 90.04
Sites, in units of the cell vectors:
Pb (0.7500, 0.2500, 0.5000)
Re (0.0000, 0.0000, 0.0000)
Re (0.2500, 0.7500, 0.5000)
Sr (0.5000, 0.5000, 0.0000)

D(E_F): 3.38 states/eV per cell
energy relative to the elements: 1.10 eV/atom

Entry 7:
A plane-wave DFT calculation with PBE-GGA was carried out for a geometry-optimized Sr4RePb structure.

abc: 6.7443 6.7443 6.7443
angles: 60.00 60.00 60.00
Each line ends with the local moment (μB).
Sites, in units of the cell vectors:
Sr (0.8771, 0.3743, 0.3743)  -0.06
Sr (0.3743, 0.3743, 0.8771)  -0.06
Sr (0.3743, 0.8771, 0.3743)  -0.06
Sr (0.3743, 0.3743, 0.3743)  -0.06
Re (0.0000, 0.0000, 0.0000)  2.76
Pb (0.7500, 0.7500, 0.7500)  0.01

D(E_F): 6.55 states/eV per cell
energy relative to the elements: 1.11 eV/atom

Entry 8:
A plane-wave DFT calculation with PBE-GGA was carried out for a geometry-optimized SrRePb2 structure.

abc: 3.7112 3.7112 7.9164
angles: 90.00 90.00 90.00
Sites, in units of the cell vectors:
Pb (0.0000, 0.0000, 0.0418)
Pb (0.5000, 0.5000, 0.3061)
Re (0.0000, 0.0000, 0.4335)
Sr (0.5000, 0.5000, 0.7186)

relative energy among the computed polymorphs: 0.1685 eV per atom
D(E_F): 4.04 states/eV per cell
energy relative to the elements: 0.57 eV/atom

Entry 9:
A plane-wave DFT calculation with PBE-GGA was carried out for a geometry-optimized SrRePb2 structure.

abc: 5.7801 5.7801 9.5758
angles: 72.43 72.43 90.00
Each line ends with the local moment (μB).
Sites, in units of the cell vectors:
Pb (0.7762, 0.1250, 0.2500)  -0.01
Pb (0.9738, 0.6250, 0.2500)  -0.01
Pb (0.3750, 0.2238, 0.7500)  -0.01
Pb (0.8750, 0.0262, 0.7500)  -0.01
Re (0.0000, 0.0000, 0.0000)  0.52
Re (0.7500, 0.2500, 0.5000)  0.53
Sr (0.5000, 0.5000, 0.0000)  0.00
Sr (0.2500, 0.7500, 0.5000)  0.01

relative energy among the computed polymorphs: 0.3386 eV per atom
D(E_F): 6.93 states/eV per cell
energy relative to the elements: 0.74 eV/atom

Entry 10:
A plane-wave DFT calculation with PBE-GGA was carried out for a geometry-optimized SrRe2Pb structure.

abc: 6.0661 6.0661 2.8476
angles: 78.69 78.69 120.73
Sites, in units of the cell vectors:
Pb (0.0000, 0.5000, 0.5000)
Re (0.0000, 0.0000, 0.0000)
Re (0.5000, 0.5000, 0.0000)
Sr (0.5000, 0.0000, 0.5000)

D(E_F): 4.10 states/eV per cell
energy relative to the elements: 1.24 eV/atom

Entry 11:
A plane-wave DFT calculation with PBE-GGA was carried out for a geometry-optimized SrRe2Pb structure.

abc: 9.9027 9.9027 9.9027
angles: 18.27 18.27 18.27
Sites, in units of the cell vectors:
Pb (0.7500, 0.7500, 0.7500)
Re (0.0080, 0.0080, 0.0080)
Re (0.4920, 0.4920, 0.4920)
Sr (0.2500, 0.2500, 0.2500)

D(E_F): 2.99 states/eV per cell
energy relative to the elements: 1.39 eV/atom

Entry 12:
A plane-wave DFT calculation with PBE-GGA was carried out for a geometry-optimized SrRe2Pb structure.

abc: 4.2851 4.2851 7.0641
angles: 72.34 72.34 60.01
Sites, in units of the cell vectors:
Pb (0.2794, 0.2794, 0.1619)
Re (0.0270, 0.0270, 0.9191)
Re (0.7061, 0.7061, 0.8815)
Sr (0.4875, 0.4875, 0.5375)

D(E_F): 1.30 states/eV per cell
energy relative to the elements: 0.31 eV/atom

Entry 13:
A plane-wave DFT calculation with PBE-GGA was carried out for a geometry-optimized SrRePb2 structure.

abc: 11.0516 11.0516 11.0516
angles: 17.70 17.70 17.70
Sites, in units of the cell vectors:
Pb (0.9993, 0.9993, 0.9993)
Pb (0.2341, 0.2341, 0.2341)
Re (0.5034, 0.5034, 0.5034)
Sr (0.7633, 0.7633, 0.7633)

relative energy among the computed polymorphs: 0.3614 eV per atom
D(E_F): 3.31 states/eV per cell
energy relative to the elements: 0.77 eV/atom

Entry 14:
A plane-wave DFT calculation with PBE-GGA was carried out for a geometry-optimized SrRe2Pb structure.

abc: 3.1086 4.5799 6.5752
angles: 90.00 90.00 90.00
Sites, in units of the cell vectors:
Pb (0.5000, 0.5000, 0.7500)
Re (0.0000, 0.0000, 0.9256)
Re (0.0000, 0.0000, 0.5744)
Sr (0.5000, 0.5000, 0.2500)

D(E_F): 3.84 states/eV per cell
energy relative to the elements: 1.08 eV/atom

Entry 15:
A plane-wave DFT calculation with PBE-GGA was carried out for a geometry-optimized SrRe2Pb structure.

abc: 6.1646 6.1646 6.1646
angles: 146.87 129.33 61.89
Sites, in units of the cell vectors:
Pb (0.2200, 0.7200, 0.5000)
Re (0.9609, 0.9609, 0.0000)
Re (0.8104, 0.3104, 0.5000)
Sr (0.5087, 0.5087, 0.0000)

D(E_F): 3.32 states/eV per cell
energy relative to the elements: 0.75 eV/atom

Entry 16:
A plane-wave DFT calculation with PBE-GGA was carried out for a geometry-optimized SrRePb2 structure.

abc: 3.5313 3.5317 8.0485
angles: 90.00 90.00 90.00
Sites, in units of the cell vectors:
Pb (0.0000, 0.0000, 0.0511)
Pb (0.0000, 0.0000, 0.4489)
Re (0.5000, 0.5000, 0.2500)
Sr (0.5000, 0.5000, 0.7500)

relative energy among the computed polymorphs: 0.0000 eV per atom
D(E_F): 3.47 states/eV per cell
energy relative to the elements: 0.41 eV/atom

Entry 17:
A plane-wave DFT calculation with PBE-GGA was carried out for a geometry-optimized TaRe3Pb structure.

abc: 4.8271 4.8271 4.8271
angles: 90.00 90.00 90.00
Sites, in units of the cell vectors:
Pb (0.0000, 0.0000, 0.0000)
Re (0.0000, 0.5000, 0.0000)
Re (0.0000, 0.0000, 0.5000)
Re (0.5000, 0.0000, 0.0000)
Ta (0.5000, 0.5000, 0.5000)

relative energy among the computed polymorphs: 0.9825 eV per atom
D(E_F): 5.01 states/eV per cell
energy relative to the elements: 3.15 eV/atom

Entry 18:
A plane-wave DFT calculation with PBE-GGA was carried out for a geometry-optimized TaRe2Pb structure.

abc: 9.9383 9.9383 9.9383
angles: 17.04 17.04 17.04
Sites, in units of the cell vectors:
Pb (0.7472, 0.7472, 0.7472)
Re (0.9906, 0.9906, 0.9906)
Re (0.2546, 0.2546, 0.2546)
Ta (0.5076, 0.5076, 0.5076)

D(E_F): 5.44 states/eV per cell
energy relative to the elements: 0.55 eV/atom

Entry 19:
A plane-wave DFT calculation with PBE-GGA was carried out for a geometry-optimized TaRePb2 structure.

abc: 11.0613 11.0613 11.0613
angles: 16.77 16.77 16.77
Sites, in units of the cell vectors:
Pb (0.0149, 0.0149, 0.0149)
Pb (0.2330, 0.2330, 0.2330)
Re (0.4862, 0.4862, 0.4862)
Ta (0.7659, 0.7659, 0.7659)

relative energy among the computed polymorphs: 0.1230 eV per atom
D(E_F): 1.89 states/eV per cell
energy relative to the elements: 0.38 eV/atom

Entry 20:
A plane-wave DFT calculation with PBE-GGA was carried out for a geometry-optimized TaRePb structure.

abc: 7.5574 7.3161 3.0529
angles: 82.63 73.75 23.62
Sites, in units of the cell vectors:
Pb (0.9972, 0.9972, 0.0028)
Re (0.3173, 0.3173, 0.6827)
Ta (0.6855, 0.6855, 0.3145)

relative energy among the computed polymorphs: 0.1048 eV per atom
D(E_F): 2.34 states/eV per cell
energy relative to the elements: 0.58 eV/atom

Entry 21:
A plane-wave DFT calculation with PBE-GGA was carried out for a geometry-optimized TaRe2Pb structure.

abc: 3.3004 3.3004 6.5117
angles: 90.00 90.00 90.00
Sites, in units of the cell vectors:
Pb (0.5000, 0.5000, 0.7500)
Re (0.0000, 0.0000, 0.0192)
Re (0.0000, 0.0000, 0.4808)
Ta (0.5000, 0.5000, 0.2500)

D(E_F): 3.13 states/eV per cell
energy relative to the elements: 0.46 eV/atom

Entry 22:
A plane-wave DFT calculation with PBE-GGA was carried out for a geometry-optimized TaRePb2 structure.

abc: 5.2674 5.2674 4.9616
angles: 86.21 86.21 37.97
Sites, in units of the cell vectors:
Pb (0.0013, 0.0013, 0.9970)
Pb (0.4987, 0.4987, 0.5030)
Re (0.7500, 0.7500, 0.7500)
Ta (0.2500, 0.2500, 0.2500)

relative energy among the computed polymorphs: 0.6685 eV per atom
D(E_F): 1.62 states/eV per cell
energy relative to the elements: 0.93 eV/atom

Entry 23:
A plane-wave DFT calculation with PBE-GGA was carried out for a geometry-optimized Ta2RePb structure.

abc: 5.4118 5.4118 4.6702
angles: 64.43 64.43 37.44
Sites, in units of the cell vectors:
Pb (0.2500, 0.2500, 0.2500)
Re (0.7500, 0.7500, 0.7500)
Ta (0.0153, 0.0153, 0.9847)
Ta (0.4847, 0.4847, 0.5153)

D(E_F): 3.08 states/eV per cell
energy relative to the elements: 0.39 eV/atom

Entry 24:
A plane-wave DFT calculation with PBE-GGA was carried out for a geometry-optimized TaRe2Pb structure.

abc: 4.1036 4.1036 10.0611
angles: 78.23 78.23 90.00
Sites, in units of the cell vectors:
Pb (0.0000, 0.0000, 0.0000)
Pb (0.7500, 0.2500, 0.5000)
Re (0.5506, 0.1250, 0.2500)
Re (0.1994, 0.6250, 0.2500)
Re (0.3750, 0.4494, 0.7500)
Re (0.8750, 0.8006, 0.7500)
Ta (0.5000, 0.5000, 0.0000)
Ta (0.2500, 0.7500, 0.5000)

D(E_F): 9.94 states/eV per cell
energy relative to the elements: 1.10 eV/atom

Entry 25:
A plane-wave DFT calculation with PBE-GGA was carried out for a geometry-optimized TaRePb2 structure.

abc: 3.0909 3.0909 10.7028
angles: 90.00 90.00 113.58
Sites, in units of the cell vectors:
Pb (0.0000, 0.0000, 0.9601)
Pb (0.5000, 0.5000, 0.2949)
Re (0.0000, 0.0000, 0.5338)
Ta (0.5000, 0.5000, 0.7112)

relative energy among the computed polymorphs: 0.1847 eV per atom
D(E_F): 2.41 states/eV per cell
energy relative to the elements: 0.44 eV/atom

Entry 26:
A plane-wave DFT calculation with PBE-GGA was carried out for a geometry-optimized TaRePb2 structure.

abc: 3.1536 3.1536 9.4062
angles: 90.00 90.00 116.42
Sites, in units of the cell vectors:
Pb (0.0000, 0.0000, 0.0100)
Pb (0.0000, 0.0000, 0.4900)
Re (0.5000, 0.5000, 0.2500)
Ta (0.5000, 0.5000, 0.7500)

relative energy among the computed polymorphs: 0.7749 eV per atom
D(E_F): 3.89 states/eV per cell
energy relative to the elements: 1.04 eV/atom

Entry 27:
A plane-wave DFT calculation with PBE-GGA was carried out for a geometry-optimized Ta3RePb structure.

abc: 4.9096 4.9096 4.9096
angles: 90.00 90.00 90.00
Sites, in units of the cell vectors:
Pb (0.5000, 0.5000, 0.5000)
Re (0.0000, 0.0000, 0.0000)
Ta (0.0000, 0.5000, 0.0000)
Ta (0.0000, 0.0000, 0.5000)
Ta (0.5000, 0.0000, 0.0000)

relative energy among the computed polymorphs: 0.0000 eV per atom
D(E_F): 3.07 states/eV per cell
energy relative to the elements: 1.12 eV/atom

Entry 28:
A plane-wave DFT calculation with PBE-GGA was carried out for a geometry-optimized TaRePb2 structure.

abc: 5.4140 5.4140 5.4140
angles: 132.92 132.92 68.78
Sites, in units of the cell vectors:
Pb (0.0000, 0.0000, 0.0000)
Pb (0.5000, 0.5000, 0.0000)
Re (0.2500, 0.7500, 0.5000)
Ta (0.7500, 0.2500, 0.5000)

relative energy among the computed polymorphs: 0.8980 eV per atom
D(E_F): 4.73 states/eV per cell
energy relative to the elements: 1.16 eV/atom

Entry 29:
A plane-wave DFT calculation with PBE-GGA was carried out for a geometry-optimized TaRePb2 structure.

abc: 3.4108 4.9538 5.7297
angles: 60.71 90.00 90.00
Sites, in units of the cell vectors:
Pb (0.0000, 0.0000, 0.0000)
Pb (0.5000, 0.5000, 0.0000)
Re (0.5000, 0.5000, 0.5000)
Ta (0.0000, 0.0000, 0.5000)

relative energy among the computed polymorphs: 0.6627 eV per atom
D(E_F): 2.87 states/eV per cell
energy relative to the elements: 0.92 eV/atom

Entry 30:
A plane-wave DFT calculation with PBE-GGA was carried out for a geometry-optimized TaRePb4 structure.

abc: 6.1438 6.1438 6.1438
angles: 60.00 60.00 60.00
Each line ends with the local moment (μB).
Sites, in units of the cell vectors:
Ta (0.0000, 0.0000, 0.0000)  -0.92
Re (0.7500, 0.7500, 0.7500)  2.88
Pb (0.8752, 0.3749, 0.3749)  0.00
Pb (0.3749, 0.3749, 0.8752)  0.00
Pb (0.3749, 0.8752, 0.3749)  0.00
Pb (0.3749, 0.3749, 0.3749)  0.00

D(E_F): 5.72 states/eV per cell
energy relative to the elements: 1.63 eV/atom

Raw total energy for the records above, in order: -0.354; -0.502; -0.358; -0.361; -0.365; -0.475; -0.199; -0.354; -0.341; -0.466; -0.454; -0.533; -0.340; -0.477; -0.501; -0.366; -0.546; -0.703; -0.555; -0.644; -0.709; -0.515; -0.704; -0.662; -0.550; -0.507; -0.678; -0.498; -0.515; -0.359 Ry/atom
Volume for the records above, in order: 105; 104; 113; 109; 110; 82; 217; 109; 289; 83; 83; 105; 109; 94; 98; 100; 112; 74; 98; 61; 71; 84; 74; 162; 94; 84; 118; 84; 84; 164 Å³ per cell